[1]
! Ca2AcLaHg4, relaxed, DFT GGA-PBE; values from VASP
&SYSTEM
  ibrav = 0, nat = 8, ntyp = 4
/
ATOMIC_SPECIES
Ca 40.08 Ca.upf
Ac 227.00 Ac.upf
La 138.91 La.upf
Hg 200.59 Hg.upf
ATOMIC_POSITIONS angstrom
Ca 8.2589 4.7683 6.7201
Ca 2.7530 1.5894 2.2803
Ac 0.0000 0.0000 0.0000
La 5.5059 3.1788 4.5002
Hg 5.5059 3.1788 7.8059
Hg 8.2589 4.7683 3.4193
Hg 2.7530 1.5894 5.5812
Hg 5.5059 3.1788 1.1946
CELL_PARAMETERS angstrom
5.5059 0.0000 0.0000
2.7530 4.7683 0.0000
2.7530 1.5894 9.0004
! DFT formation energy, meV/atom: -553
! SG: R-3m, No. 166



[2]
! Rb2GeS, relaxed, DFT GGA-PBE; values from VASP
&SYSTEM
  ibrav = 0, nat = 4, ntyp = 3
/
ATOMIC_SPECIES
Ge 72.64 Ge.upf
S 32.06 S.upf
Rb 85.47 Rb.upf
ATOMIC_POSITIONS angstrom
Ge 4.1088 4.1088 4.1088
S 0.0000 0.0000 0.0000
Rb 2.0544 2.0544 2.0544
Rb 6.1632 6.1632 6.1632
CELL_PARAMETERS angstrom
0.0000 4.1088 4.1088
4.1088 0.0000 4.1088
4.1088 4.1088 0.0000
! Raw formation energy, eV per atom: 0.01
! SG: Fm-3m, No. 225
! Energy relative to the lowest polymorph listed for this composition, kcal/mol of atoms: 5.041



[3]
! CdSi3C, relaxed, DFT GGA-PBE; values from VASP
&SYSTEM
  ibrav = 0, nat = 5, ntyp = 3
/
ATOMIC_SPECIES
Si 28.09 Si.upf
C 12.01 C.upf
Cd 112.41 Cd.upf
ATOMIC_POSITIONS angstrom
Si 0.5450 -2.0200 0.0262
Si -1.6104 -0.4180 1.2689
Si -1.2198 -0.3507 -1.6636
C 0.0000 0.0000 0.0000
Cd -2.2852 -2.7887 -0.3684
CELL_PARAMETERS angstrom
-2.4396 -0.7014 -3.3271
1.0900 -4.0401 0.0525
-3.2208 -0.8360 2.5378
! Raw formation energy, eV per atom: 0.93
! SG: Pm-3m, No. 221
! Energy relative to the lowest polymorph listed for this composition, kcal/mol of atoms: 0.000



Let's list theoretical density in order: 8.77 3.30 4.73 Mg/m³.
Let's list total DFT energy (no corrections) in order: -18.67 -10.64 -21.78 eV/f.u..